1.
Below is an optimized crystal structure of Ho2NbPt9, with properties calculated at the GGA-PBE level.

Values from the calculation:
ΔE_f: -0.94 eV/atom
spin magnetization: 0.0 μB per cell
E: -7.073 eV/atom
SG: No. 123
DOS(E_F): 3.64 states/eV per cell
crystal system: tetragonal

Unit cell a=4.0775 b=4.0775 c=12.2134 alpha=90.00 beta=90.00 gamma=90.00
Last column: nearest neighbours and their distance in Å.
Element x y z (fractional)
Ho: 0.0000 0.0000 0.1662  12 Pt 2.88-2.98
Ho: 0.0000 0.0000 0.8338  12 Pt 2.88-2.98
Nb: 0.0000 0.0000 0.5000  12 Pt 2.79-2.88
Pt: 0.0000 0.5000 0.0000  4 Ho 2.88, 8 Pt 2.88-2.93
Pt: 0.0000 0.5000 0.3442  2 Nb 2.79, 8 Pt 2.79-2.93, 2 Ho 2.98
Pt: 0.0000 0.5000 0.6558  2 Nb 2.79, 8 Pt 2.79-2.93, 2 Ho 2.98
Pt: 0.5000 0.0000 0.0000  4 Ho 2.88, 8 Pt 2.88-2.93
Pt: 0.5000 0.0000 0.3442  2 Nb 2.79, 8 Pt 2.79-2.93, 2 Ho 2.98
Pt: 0.5000 0.0000 0.6558  2 Nb 2.79, 8 Pt 2.79-2.93, 2 Ho 2.98
Pt: 0.5000 0.5000 0.1721  4 Ho 2.88, 8 Pt 2.93
Pt: 0.5000 0.5000 0.5000  8 Pt 2.79, 4 Nb 2.88
Pt: 0.5000 0.5000 0.8279  4 Ho 2.88, 8 Pt 2.93

2.
Below is an optimized crystal structure of HoNbPt, with properties calculated at the GGA-PBE level.

Values from the calculation:
ΔE_f: -0.44 eV/atom
spin magnetization: 0.0 μB per cell
E: -7.333 eV/atom
SG: No. 65
DOS(E_F): 11.00 states/eV per cell
crystal system: orthorhombic

Unit cell a=4.8156 b=4.8245 c=10.5629 alpha=90.00 beta=90.00 gamma=90.00
Last column: nearest neighbours and their distance in Å.
Element x y z (fractional)
Ho: 0.0000 0.0000 0.1646  4 Pt 2.97, 4 Nb 3.20
Ho: 0.0000 0.0000 0.8354  4 Pt 2.97, 4 Nb 3.20
Ho: 0.5000 0.5000 0.1646  4 Pt 2.97, 4 Nb 3.20
Ho: 0.5000 0.5000 0.8354  4 Pt 2.97, 4 Nb 3.20
Nb: 0.0000 0.5000 0.3637  4 Pt 2.81, 1 Nb 2.88
Nb: 0.0000 0.5000 0.6363  4 Pt 2.81, 1 Nb 2.88
Nb: 0.5000 0.0000 0.3637  4 Pt 2.81, 1 Nb 2.88
Nb: 0.5000 0.0000 0.6363  4 Pt 2.81, 1 Nb 2.88
Pt: 0.0000 0.0000 0.5000  8 Nb 2.81
Pt: 0.0000 0.5000 0.0000  8 Ho 2.97
Pt: 0.5000 0.0000 0.0000  8 Ho 2.97
Pt: 0.5000 0.5000 0.5000  8 Nb 2.81

3.
Below is an optimized crystal structure of Ho2NbSi4Pt3, with properties calculated at the GGA-PBE level.

Values from the calculation:
spin magnetization: 0.0 μB per cell
E: -6.866 eV/atom
SG: No. 115
E_form (uncorrected): -0.96 eV per atom
DOS(E_F): 4.79 states/eV per cell
crystal system: tetragonal

Unit cell a=4.1570 b=4.1570 c=10.3144 alpha=90.00 beta=90.00 gamma=90.00
Last column: nearest neighbours and their distance in Å.
Element x y z (fractional)
Ho: 0.0000 0.5000 0.2398  8 Si 3.17-3.23, 6 Pt 3.18-3.39, 2 Nb 3.39
Ho: 0.5000 0.0000 0.7602  8 Si 3.17-3.23, 6 Pt 3.18-3.39, 2 Nb 3.39
Nb: 0.0000 0.0000 0.5000  4 Si 2.56
Si: 0.0000 0.0000 0.0000  4 Pt 2.43
Si: 0.0000 0.5000 0.6455  3 Pt 2.40-2.56, 2 Nb 2.56
Si: 0.5000 0.0000 0.3545  3 Pt 2.40-2.56, 2 Nb 2.56
Si: 0.5000 0.5000 0.0000  4 Pt 2.43
Pt: 0.0000 0.5000 0.8783  5 Si 2.40-2.43
Pt: 0.5000 0.0000 0.1217  5 Si 2.40-2.43
Pt: 0.5000 0.5000 0.5000  4 Si 2.56

4.
Below is an optimized crystal structure of HoPu2Nb, with properties calculated at the GGA-PBE level.

Values from the calculation:
ΔE_f: 0.33 eV/atom
spin magnetization: 11.0 μB per cell
E: -10.495 eV/atom
SG: No. 123
DOS(E_F): 11.61 states/eV per cell
crystal system: tetragonal

Unit cell a=3.6893 b=3.6893 c=7.2008 alpha=90.00 beta=90.00 gamma=90.00
Last column: nearest neighbours and their distance in Å.
Element x y z (fractional)
Ho: 0.0000 0.0000 0.0000  8 Pu 3.32, 2 Nb 3.60, 4 Ho 3.69
Pu: 0.5000 0.5000 0.2859  4 Nb 3.03, 1 Pu 3.08, 4 Ho 3.32
Pu: 0.5000 0.5000 0.7141  4 Nb 3.03, 1 Pu 3.08, 4 Ho 3.32
Nb: 0.0000 0.0000 0.5000  8 Pu 3.03

5.
Below is an optimized crystal structure of HoPuNb, with properties calculated at the GGA-PBE level.

Values from the calculation:
ΔE_f: 0.27 eV/atom
spin magnetization: 20.5 μB per cell
E: -9.393 eV/atom
SG: No. 139
DOS(E_F): 27.98 states/eV per cell
crystal system: tetragonal

Unit cell a=3.3013 b=3.3013 c=27.8050 alpha=90.00 beta=90.00 gamma=90.00
Last column: nearest neighbours and their distance in Å.
Element x y z (fractional)
Ho: 0.0000 0.0000 0.0616  5 Ho 3.30-3.43, 4 Pu 3.40
Ho: 0.0000 0.0000 0.9384  5 Ho 3.30-3.43, 4 Pu 3.40
Ho: 0.5000 0.5000 0.4384  5 Ho 3.30-3.43, 4 Pu 3.40
Ho: 0.5000 0.5000 0.5616  5 Ho 3.30-3.43, 4 Pu 3.40
Pu: 0.0000 0.0000 0.3494  4 Nb 3.04, 4 Pu 3.30, 4 Ho 3.40
Pu: 0.0000 0.0000 0.6506  4 Nb 3.04, 4 Pu 3.30, 4 Ho 3.40
Pu: 0.5000 0.5000 0.1506  4 Nb 3.04, 4 Pu 3.30, 4 Ho 3.40
Pu: 0.5000 0.5000 0.8494  4 Nb 3.04, 4 Pu 3.30, 4 Ho 3.40
Nb: 0.0000 0.0000 0.2209  4 Nb 2.84, 4 Pu 3.04
Nb: 0.0000 0.0000 0.7791  4 Nb 2.84, 4 Pu 3.04
Nb: 0.5000 0.5000 0.2791  4 Nb 2.84, 4 Pu 3.04
Nb: 0.5000 0.5000 0.7209  4 Nb 2.84, 4 Pu 3.04

6.
Below is an optimized crystal structure of HoNbRe4, with properties calculated at the GGA-PBE level.

Values from the calculation:
ΔE_f: -0.09 eV/atom
spin magnetization: 0.0 μB per cell
E: -10.831 eV/atom
SG: No. 216
DOS(E_F): 7.85 states/eV per cell
crystal system: cubic

Unit cell a=5.3057 b=5.3057 c=5.3057 alpha=60.00 beta=60.00 gamma=60.00
Last column: nearest neighbours and their distance in Å.
Element x y z (fractional)
Ho: 0.0000 0.0000 0.0000  12 Re 3.11, 4 Nb 3.25
Nb: 0.7500 0.7500 0.7500  12 Re 3.11, 4 Ho 3.25
Re: 0.3752 0.3752 0.3752  6 Re 2.65-2.66
Re: 0.3752 0.3752 0.8745  6 Re 2.65-2.66
Re: 0.3752 0.8745 0.3752  6 Re 2.65-2.66
Re: 0.8745 0.3752 0.3752  6 Re 2.65-2.66

7.
Below is an optimized crystal structure of Ho2NbRe3, with properties calculated at the GGA-PBE level.

Values from the calculation:
ΔE_f: -0.18 eV/atom
spin magnetization: 0.0 μB per cell
E: -9.611 eV/atom
SG: No. 166
DOS(E_F): 4.34 states/eV per cell
crystal system: trigonal

Unit cell a=5.5285 b=5.5285 c=5.5285 alpha=58.85 beta=58.85 gamma=58.85
Last column: nearest neighbours and their distance in Å.
Element x y z (fractional)
Ho: 0.1223 0.1223 0.1223  9 Re 3.19-3.28, 3 Nb 3.19, 4 Ho 3.34-3.36
Ho: 0.8777 0.8777 0.8777  9 Re 3.19-3.28, 3 Nb 3.19, 4 Ho 3.34-3.36
Nb: 0.5000 0.5000 0.5000  6 Re 2.76
Re: 0.0000 0.5000 0.5000  4 Re 2.72, 2 Nb 2.76
Re: 0.5000 0.0000 0.5000  4 Re 2.72, 2 Nb 2.76
Re: 0.5000 0.5000 0.0000  4 Re 2.72, 2 Nb 2.76

8.
Below is an optimized crystal structure of HoNbReRu, with properties calculated at the GGA-PBE level.

Values from the calculation:
ΔE_f: -0.11 eV/atom
spin magnetization: 0.0 μB per cell
E: -9.198 eV/atom
SG: No. 216
DOS(E_F): 12.06 states/eV per cell
crystal system: cubic

Unit cell a=6.5614 b=6.5614 c=6.5614 alpha=90.00 beta=90.00 gamma=90.00
Last column: nearest neighbours and their distance in Å.
Element x y z (fractional)
Ho: 0.0000 0.0000 0.0000  4 Ru 2.84, 4 Re 2.84
Ho: 0.0000 0.5000 0.5000  4 Ru 2.84, 4 Re 2.84
Ho: 0.5000 0.0000 0.5000  4 Ru 2.84, 4 Re 2.84
Ho: 0.5000 0.5000 0.0000  4 Ru 2.84, 4 Re 2.84
Nb: 0.0000 0.0000 0.5000  4 Re 2.84, 4 Ru 2.84
Nb: 0.0000 0.5000 0.0000  4 Re 2.84, 4 Ru 2.84
Nb: 0.5000 0.0000 0.0000  4 Re 2.84, 4 Ru 2.84
Nb: 0.5000 0.5000 0.5000  4 Re 2.84, 4 Ru 2.84
Re: 0.2500 0.2500 0.2500  4 Ho 2.84, 4 Nb 2.84
Re: 0.2500 0.7500 0.7500  4 Ho 2.84, 4 Nb 2.84
Re: 0.7500 0.2500 0.7500  4 Ho 2.84, 4 Nb 2.84
Re: 0.7500 0.7500 0.2500  4 Ho 2.84, 4 Nb 2.84
Ru: 0.2500 0.2500 0.7500  4 Nb 2.84, 4 Ho 2.84
Ru: 0.2500 0.7500 0.2500  4 Nb 2.84, 4 Ho 2.84
Ru: 0.7500 0.2500 0.2500  4 Nb 2.84, 4 Ho 2.84
Ru: 0.7500 0.7500 0.7500  4 Nb 2.84, 4 Ho 2.84

9.
Below is an optimized crystal structure of Ho2NbRu, with properties calculated at the GGA-PBE level.

Values from the calculation:
ΔE_f: 0.43 eV/atom
spin magnetization: 2.6 μB per cell
E: -6.691 eV/atom
SG: No. 166
DOS(E_F): 13.26 states/eV per cell
crystal system: trigonal

Unit cell a=3.1989 b=3.1989 c=30.5209 alpha=90.00 beta=90.00 gamma=120.00
Last column: nearest neighbours and their distance in Å.
Element x y z (fractional)
Ho: 0.0000 0.0000 0.0977  3 Ru 2.80, 1 Nb 2.98
Ho: 0.0000 0.0000 0.9023  3 Ru 2.80, 1 Nb 2.98
Ho: 0.3333 0.6667 0.5689  3 Ru 2.80, 1 Nb 2.98
Ho: 0.3333 0.6667 0.7644  3 Ru 2.80, 1 Nb 2.98
Ho: 0.6667 0.3333 0.2356  3 Ru 2.80, 1 Nb 2.98
Ho: 0.6667 0.3333 0.4311  3 Ru 2.80, 1 Nb 2.98
Nb: 0.0000 0.0000 0.0000  2 Ho 2.98, 6 Nb 3.20
Nb: 0.3333 0.6667 0.6667  2 Ho 2.98, 6 Nb 3.20
Nb: 0.6667 0.3333 0.3333  2 Ho 2.98, 6 Nb 3.20
Ru: 0.0000 0.0000 0.5000  6 Ho 2.80
Ru: 0.3333 0.6667 0.1667  6 Ho 2.80
Ru: 0.6667 0.3333 0.8333  6 Ho 2.80

10.
Below is an optimized crystal structure of HoNb2Ru3, with properties calculated at the GGA-PBE level.

Values from the calculation:
ΔE_f: -0.32 eV/atom
spin magnetization: 0.0 μB per cell
E: -9.075 eV/atom
SG: No. 123
DOS(E_F): 4.86 states/eV per cell
crystal system: tetragonal

Unit cell a=3.2021 b=3.2021 c=10.0644 alpha=90.00 beta=90.00 gamma=90.00
Last column: nearest neighbours and their distance in Å.
Element x y z (fractional)
Ho: 0.0000 0.0000 0.0000  8 Ru 2.98, 4 Ho 3.20
Nb: 0.0000 0.0000 0.3402  8 Ru 2.71-2.78
Nb: 0.0000 0.0000 0.6598  8 Ru 2.71-2.78
Ru: 0.5000 0.5000 0.1927  4 Nb 2.71, 4 Ho 2.98
Ru: 0.5000 0.5000 0.5000  8 Nb 2.78, 2 Ru 3.09
Ru: 0.5000 0.5000 0.8073  4 Nb 2.71, 4 Ho 2.98

11.
Below is an optimized crystal structure of HoNbRu2, with properties calculated at the GGA-PBE level.

Values from the calculation:
ΔE_f: -0.38 eV/atom
spin magnetization: 0.0 μB per cell
offset from the most stable computed form: 0.00 kcal/mol of atoms
E: -8.675 eV/atom
SG: No. 123
DOS(E_F): 1.91 states/eV per cell
crystal system: tetragonal

Unit cell a=3.2432 b=3.2432 c=6.7244 alpha=90.00 beta=90.00 gamma=90.00
Last column: nearest neighbours and their distance in Å.
Element x y z (fractional)
Ho: 0.0000 0.0000 0.0000  8 Ru 2.95, 4 Ho 3.24
Nb: 0.0000 0.0000 0.5000  8 Ru 2.75
Ru: 0.5000 0.5000 0.2756  4 Nb 2.75, 4 Ho 2.95, 1 Ru 3.02
Ru: 0.5000 0.5000 0.7244  4 Nb 2.75, 4 Ho 2.95, 1 Ru 3.02

12.
Below is an optimized crystal structure of HoNbRu2, with properties calculated at the GGA-PBE level.

Values from the calculation:
ΔE_f: -0.33 eV/atom
spin magnetization: 0.0 μB per cell
offset from the most stable computed form: 0.98 kcal/mol of atoms
E: -8.632 eV/atom
SG: No. 225
DOS(E_F): 5.65 states/eV per cell
crystal system: cubic

Unit cell a=6.5332 b=6.5332 c=6.5332 alpha=90.00 beta=90.00 gamma=90.00
Last column: nearest neighbours and their distance in Å.
Element x y z (fractional)
Ho: 0.0000 0.0000 0.0000  8 Ru 2.83
Ho: 0.0000 0.5000 0.5000  8 Ru 2.83
Ho: 0.5000 0.0000 0.5000  8 Ru 2.83
Ho: 0.5000 0.5000 0.0000  8 Ru 2.83
Nb: 0.0000 0.0000 0.5000  8 Ru 2.83
Nb: 0.0000 0.5000 0.0000  8 Ru 2.83
Nb: 0.5000 0.0000 0.0000  8 Ru 2.83
Nb: 0.5000 0.5000 0.5000  8 Ru 2.83
Ru: 0.2500 0.2500 0.2500  4 Ho 2.83, 4 Nb 2.83
Ru: 0.2500 0.2500 0.7500  4 Nb 2.83, 4 Ho 2.83
Ru: 0.2500 0.7500 0.2500  4 Nb 2.83, 4 Ho 2.83
Ru: 0.2500 0.7500 0.7500  4 Ho 2.83, 4 Nb 2.83
Ru: 0.7500 0.2500 0.2500  4 Nb 2.83, 4 Ho 2.83
Ru: 0.7500 0.2500 0.7500  4 Ho 2.83, 4 Nb 2.83
Ru: 0.7500 0.7500 0.2500  4 Ho 2.83, 4 Nb 2.83
Ru: 0.7500 0.7500 0.7500  4 Nb 2.83, 4 Ho 2.83